Entry 1:
NdYCuAu: relaxed, PBE-GGA.

VASP energy: -20.7 eV per cell
Symmetry: Amm2
Formation energy: -0.519 eV/atom

Cell lengths 4.5919, 5.8243, 5.8243 Å; angles 38.56, 90.00, 90.00 degrees
Closest atoms and distances in Å follow each position.
Sites, in units of the cell vectors:
Nd 0.0000 0.0000 0.0000  4 Cu 3.07, 3 Au 3.08-3.09
Y 0.5000 0.2789 0.2789  3 Cu 3.06-3.12, 4 Au 3.07
Cu 0.5000 0.5629 0.5629  2 Au 2.86, 3 Y 3.06-3.12, 4 Nd 3.07
Au 0.0000 0.7187 0.7187  2 Cu 2.86, 4 Y 3.07, 3 Nd 3.08-3.09

=====

Entry 2:
KP3: relaxed, PBE-GGA.

VASP energy: -63.7 eV per cell
Symmetry: P6_3/mmc
Formation energy: 0.353 eV/atom

Cell lengths 6.3395, 6.3395, 9.7983 Å; angles 90.00, 90.00, 120.00 degrees
Closest atoms and distances in Å follow each position.
Sites, in units of the cell vectors:
K 0.0000 0.0000 0.0000  12 P 3.17-3.42
K 0.0000 0.0000 0.5000  12 P 3.17-3.42
K 0.3333 0.6667 0.2500  12 P 3.06-3.22
K 0.6667 0.3333 0.7500  12 P 3.06-3.22
P 0.0000 0.5000 0.0000  8 P 2.94-3.17, 4 K 3.06-3.17
P 0.0000 0.5000 0.5000  8 P 2.94-3.17, 4 K 3.06-3.17
P 0.2168 0.4336 0.7500  2 P 2.22
P 0.2168 0.7832 0.7500  2 P 2.22
P 0.4336 0.2168 0.2500  2 P 2.22
P 0.5000 0.0000 0.0000  8 P 2.94-3.17, 4 K 3.06-3.17
P 0.5000 0.0000 0.5000  8 P 2.94-3.17, 4 K 3.06-3.17
P 0.5000 0.5000 0.0000  8 P 2.94-3.17, 4 K 3.06-3.17
P 0.5000 0.5000 0.5000  8 P 2.94-3.17, 4 K 3.06-3.17
P 0.5664 0.7832 0.7500  2 P 2.22
P 0.7832 0.2168 0.2500  2 P 2.22
P 0.7832 0.5664 0.2500  2 P 2.22

=====

Entry 3:
Mg3GeOs: relaxed, PBE-GGA.

VASP energy: -17.3 eV per cell
Symmetry: Pm-3m
Formation energy: 0.669 eV/atom

Cell lengths 4.9645, 4.9645, 4.9645 Å; angles 90.00, 90.00, 90.00 degrees
Closest atoms and distances in Å follow each position.
Sites, in units of the cell vectors:
Mg 0.0000 0.0000 0.5000  2 Os 2.48
Mg 0.0000 0.5000 0.0000  2 Os 2.48
Mg 0.5000 0.0000 0.0000  2 Os 2.48
Ge 0.5000 0.5000 0.5000  12 Mg 3.51
Os 0.0000 0.0000 0.0000  6 Mg 2.48

=====

no.,N(E_F) (states/eV per cell)
1,2.9
2,9.4
3,1.9